The following is a DFT calculation (PBE) of a geometry-optimized Rb3PaBi3Te8 structure.

CIF file:
```
data_Rb3PaBi3Te8
_chemical_formula_sum 'Rb9 Pa3 Bi9 Te24'
_symmetry_space_group_name_H-M 'R -3 m'
_symmetry_Int_Tables_number 166
_symmetry_space_group_name_Hall '-R 3 2"'
_cell_length_a 9.1374
_cell_length_b 9.1374
_cell_length_c 26.3172
_cell_angle_alpha 90.00
_cell_angle_beta 90.00
_cell_angle_gamma 120.00
loop_
_atom_site_label
_atom_site_type_symbol
_atom_site_fract_x
_atom_site_fract_y
_atom_site_fract_z
Rb1 Rb 0.0000 0.5000 0.0000
Pa1 Pa 0.0000 0.0000 0.5000
Bi1 Bi 0.0000 0.5000 0.5000
Te1 Te 0.0000 0.0000 0.2338
Te2 Te 0.0081 0.5040 0.2325
```

Its density is 5.590 Mg/m³. For the uncorrected formation energy, the calculation gives -0.66 eV per atom.